Np2BiSb after structural relaxation, computed with PBE-GGA.

Computed properties:
The calculation puts the density of states at the Fermi level at 14.5 states/eV/f.u. The total energy is -8.552 eV/atom. The space group is P4/mmm, No. 123. As for the formation energy from raw total energies: -31.1 kJ/mol of formula units. As for the relative energy among the computed polymorphs: 0 meV/atom.

Cell: 5.8137 5.8137 3.1949 Å, 90.00 90.00 90.00°
Element x y z (fractional)
Np  0.0000  0.5000  0.0000
Np  0.5000  0.0000  0.0000
Bi  0.0000  0.0000  0.5000
Sb  0.5000  0.5000  0.5000